First-principles (PBE-GGA) data for a geometry-optimized Fe2CoSn structure, as listed in Alexandria via LeMat-Bulk.

Cell and atoms, written as POSCAR:
```
Fe2CoSn
1.0
3.653 0.000 0.000
0.000 3.653 0.000
1.826 1.826 8.521
Co Fe Sn
2 4 2
direct
0.250 0.750 0.500
0.500 0.500 0.000
0.375 0.457 0.750
0.543 0.125 0.250
0.207 0.625 0.250
0.875 0.793 0.750
0.000 0.000 0.000
0.750 0.250 0.500
```

Output
Magnetization, μB per formula unit: 0.2
Electronic total energy, eV per atom: -6.35
Crystal system: tetragonal
Formation energy, eV per atom: 0.657